Zr2BH3 GGA-PBE optimized geometry; symmetry = C2/m (12); E_tot = -6.041 eV/atom
1.0
6.2120 -1.7029 0.0000
6.2120 1.7029 0.0000
-2.9544 0.0000 5.5900
Zr B H
4 2 6
direct
0.0185 0.0185 0.2477 Zr
0.2765 0.2765 0.2534 Zr
0.7235 0.7235 0.7466 Zr
0.9815 0.9815 0.7523 Zr
0.3796 0.3796 0.9694 B
0.6204 0.6204 0.0306 B
0.1044 0.1044 0.6323 H
0.1987 0.1987 0.4852 H
0.4288 0.4288 0.5719 H
0.5712 0.5712 0.4281 H
0.8013 0.8013 0.5148 H
0.8956 0.8956 0.3677 H

***

MgUGa2Pt4 GGA-PBE optimized geometry; symmetry = R-3m (166); formation energy from the elements = -0.7041 eV per atom
1.0
2.1726 1.2544 8.4387
-2.1726 1.2544 8.4387
0.0000 -2.5087 8.4387
Mg U Ga Pt
1 1 2 4
direct
0.0000 0.0000 0.0000 Mg
0.5000 0.5000 0.5000 U
0.2580 0.2580 0.2580 Ga
0.7420 0.7420 0.7420 Ga
0.1055 0.1055 0.1055 Pt
0.3697 0.3697 0.3697 Pt
0.6303 0.6303 0.6303 Pt
0.8945 0.8945 0.8945 Pt

***

Tl8PdAu2 GGA-PBE optimized geometry; symmetry = C2/m (12); energy relative to the lowest polymorph listed for this composition = 0.041 eV per formula unit; formation energy from the elements = -0.0300 eV per atom
1.0
8.7197 -2.0138 0.0000
8.7197 2.0138 0.0000
-1.6105 0.0000 8.6127
Tl Pd Au
8 1 2
direct
0.0027 0.0027 0.2766 Tl
0.1991 0.1991 0.8340 Tl
0.3386 0.3386 0.4994 Tl
0.4045 0.4045 0.9640 Tl
0.5955 0.5955 0.0360 Tl
0.6614 0.6614 0.5006 Tl
0.8009 0.8009 0.1660 Tl
0.9973 0.9973 0.7234 Tl
0.5000 0.5000 0.5000 Pd
0.1869 0.1869 0.2591 Au
0.8131 0.8131 0.7409 Au

***

CsAgTeSe3 GGA-PBE optimized geometry; symmetry = P2_1/m (11); raw formation energy = -0.39 eV/atom
1.0
9.4515 0.0000 0.0000
0.0000 4.2968 0.0000
-3.7278 0.0000 9.6266
Cs Ag Te Se
2 2 2 6
direct
0.2188 0.2500 0.2682 Cs
0.7812 0.7500 0.7318 Cs
0.0751 0.2500 0.5906 Ag
0.9249 0.7500 0.4094 Ag
0.3281 0.7500 0.8539 Te
0.6719 0.2500 0.1461 Te
0.1369 0.2500 0.8745 Se
0.2374 0.7500 0.5622 Se
0.4697 0.7500 0.1482 Se
0.5303 0.2500 0.8518 Se
0.7626 0.2500 0.4378 Se
0.8631 0.7500 0.1255 Se

***

Na7MgPb3 GGA-PBE optimized geometry; symmetry = P3m1 (156); formation energy from the elements = -0.0245 eV per atom
1.0
7.4579 0.0000 0.0000
-3.7290 6.4588 0.0000
0.0000 0.0000 7.8194
Na Mg Pb
7 1 3
direct
0.0000 0.0000 0.0000 Na
0.1691 0.3382 0.4308 Na
0.1691 0.8309 0.4308 Na
0.5012 0.0025 0.0438 Na
0.5012 0.4988 0.0438 Na
0.6618 0.8309 0.4308 Na
0.9975 0.4988 0.0438 Na
0.6667 0.3333 0.4068 Mg
0.3756 0.1878 0.7167 Pb
0.8122 0.1878 0.7167 Pb
0.8122 0.6244 0.7167 Pb

***

VIr3Pd GGA-PBE optimized geometry; symmetry = Pm-3m (221); energy relative to the lowest polymorph listed for this composition = 4.619 eV per formula unit; formation energy from the elements = 2.1454 eV per atom
1.0
4.7149 0.0000 0.0000
0.0000 4.7149 0.0000
0.0000 0.0000 4.7149
V Ir Pd
1 3 1
direct
0.0000 0.0000 0.0000 V
0.0000 0.5000 0.5000 Ir
0.5000 0.0000 0.5000 Ir
0.5000 0.5000 0.0000 Ir
0.5000 0.5000 0.5000 Pd

***

Sc2Al3P GGA-PBE optimized geometry; symmetry = P6_3/mmc (194); formation energy from the elements = -0.4640 eV per atom
1.0
5.2347 0.0000 0.0000
-2.6174 4.5334 0.0000
0.0000 0.0000 8.7555
Sc Al P
4 6 2
direct
0.3333 0.6667 0.0740 Sc
0.3333 0.6667 0.4260 Sc
0.6667 0.3333 0.5740 Sc
0.6667 0.3333 0.9260 Sc
0.1700 0.3399 0.7500 Al
0.1700 0.8300 0.7500 Al
0.3399 0.1700 0.2500 Al
0.6601 0.8300 0.7500 Al
0.8300 0.1700 0.2500 Al
0.8300 0.6601 0.2500 Al
0.0000 0.0000 0.0000 P
0.0000 0.0000 0.5000 P

***

Pm2AlCu4Si3 GGA-PBE optimized geometry; symmetry = P-4m2 (115); raw formation energy = -0.55 eV/atom
1.0
4.0607 0.0000 0.0000
0.0000 4.0607 0.0000
0.0000 0.0000 10.1301
Pm Al Cu Si
2 1 4 3
direct
0.0000 0.5000 0.2419 Pm
0.5000 0.0000 0.7581 Pm
0.0000 0.0000 0.5000 Al
0.0000 0.0000 0.0000 Cu
0.0000 0.5000 0.6366 Cu
0.5000 0.0000 0.3634 Cu
0.5000 0.5000 0.0000 Cu
0.0000 0.5000 0.8712 Si
0.5000 0.0000 0.1288 Si
0.5000 0.5000 0.5000 Si

***

Pr3Sm3MgSe8 GGA-PBE optimized geometry; symmetry = R-3m (166); raw formation energy = -1.78 eV/atom
1.0
4.1800 2.4133 6.8903
-4.1800 2.4133 6.8903
0.0000 -4.8267 6.8903
Pr Sm Mg Se
3 3 1 8
direct
0.0000 0.5000 0.5000 Pr
0.5000 0.0000 0.5000 Pr
0.5000 0.5000 0.0000 Pr
0.0000 0.0000 0.5000 Sm
0.0000 0.5000 0.0000 Sm
0.5000 0.0000 0.0000 Sm
0.5000 0.5000 0.5000 Mg
0.2474 0.2474 0.2474 Se
0.2566 0.7386 0.7386 Se
0.2614 0.2614 0.7434 Se
0.2614 0.7434 0.2614 Se
0.7386 0.2566 0.7386 Se
0.7386 0.7386 0.2566 Se
0.7434 0.2614 0.2614 Se
0.7526 0.7526 0.7526 Se

***

Na2SrUS4 GGA-PBE optimized geometry; symmetry = Cm (8); raw formation energy = -1.51 eV/atom
1.0
13.5254 0.0000 0.0000
0.0000 5.6804 0.0000
-2.3845 0.0000 5.1614
Na Sr U S
4 2 2 8
direct
0.0000 0.0000 0.0000 Na
0.2501 0.0000 0.7501 Na
0.5000 0.5000 0.0000 Na
0.7501 0.5000 0.7501 Na
0.2499 0.5000 0.2500 Sr
0.7499 0.0000 0.2500 Sr
0.0001 0.5000 0.4994 U
0.5001 0.0000 0.4994 U
0.0036 0.5000 0.0040 S
0.2142 0.5000 0.7144 S
0.2860 0.0000 0.2853 S
0.4965 0.5000 0.4966 S
0.5036 0.0000 0.0040 S
0.7142 0.0000 0.7144 S
0.7860 0.5000 0.2853 S
0.9965 0.0000 0.4966 S

***

CrSiAs GGA-PBE optimized geometry; symmetry = F-43m (216); raw formation energy = 0.20 eV/atom
1.0
5.8671 0.0000 0.0000
0.0000 5.8671 0.0000
0.0000 0.0000 5.8671
Cr Si As
4 4 4
direct
0.0000 0.0000 0.0000 Cr
0.0000 0.5000 0.5000 Cr
0.5000 0.0000 0.5000 Cr
0.5000 0.5000 0.0000 Cr
0.2500 0.2500 0.7500 Si
0.2500 0.7500 0.2500 Si
0.7500 0.2500 0.2500 Si
0.7500 0.7500 0.7500 Si
0.2500 0.2500 0.2500 As
0.2500 0.7500 0.7500 As
0.7500 0.2500 0.7500 As
0.7500 0.7500 0.2500 As

***

Be4AgTe3O12 GGA-PBE optimized geometry; symmetry = R32 (155); raw formation energy = -1.42 eV/atom
1.0
5.1280 2.9607 2.7141
-5.1280 2.9607 2.7141
0.0000 -5.9213 2.7141
Be Ag Te O
4 1 3 12
direct
0.0000 0.0000 0.0000 Be
0.0000 0.4463 0.5537 Be
0.4463 0.5537 0.0000 Be
0.5537 0.0000 0.4463 Be
0.5000 0.5000 0.5000 Ag
0.0457 0.9543 0.5000 Te
0.5000 0.0457 0.9543 Te
0.9543 0.5000 0.0457 Te
0.0000 0.6005 0.3995 O
0.0000 0.8479 0.1521 O
0.1164 0.2675 0.5116 O
0.1521 0.0000 0.8479 O
0.2675 0.5116 0.1164 O
0.3995 0.0000 0.6005 O
0.4884 0.7325 0.8836 O
0.5116 0.1164 0.2675 O
0.6005 0.3995 0.0000 O
0.7325 0.8836 0.4884 O
0.8479 0.1521 0.0000 O
0.8836 0.4884 0.7325 O

***

BaNi GGA-PBE optimized geometry; symmetry = R-3m (166); formation energy from the elements = 0.3409 eV per atom
1.0
4.4534 0.0000 0.0000
-2.2267 3.8568 0.0000
0.0000 0.0000 10.9642
Ba Ni
3 3
direct
0.0000 0.0000 0.0000 Ba
0.3333 0.6667 0.6667 Ba
0.6667 0.3333 0.3333 Ba
0.0000 0.0000 0.5000 Ni
0.3333 0.6667 0.1667 Ni
0.6667 0.3333 0.8333 Ni

***

Tl4CuI5 GGA-PBE optimized geometry; symmetry = I4 (79); raw formation energy = -0.49 eV/atom
1.0
-5.3524 5.3524 3.5203
5.3524 -5.3524 3.5203
5.3524 5.3524 -3.5203
Tl Cu I
4 1 5
direct
0.0882 0.6937 0.7819 Tl
0.3063 0.0882 0.3944 Tl
0.6937 0.9118 0.6056 Tl
0.9118 0.3063 0.2181 Tl
0.4225 0.4225 0.0000 Cu
0.0492 0.0492 0.0000 I
0.2576 0.4134 0.6557 I
0.4134 0.7577 0.1558 I
0.6019 0.2576 0.8442 I
0.7577 0.6019 0.3443 I

***

TlNiBiCl6 GGA-PBE optimized geometry; symmetry = P312 (149); raw formation energy = -0.86 eV/atom
1.0
6.7539 0.0000 0.0000
-3.3769 5.8490 0.0000
0.0000 0.0000 7.0557
Tl Ni Bi Cl
1 1 1 6
direct
0.0000 0.0000 0.0000 Tl
0.6667 0.3333 0.5000 Ni
0.3333 0.6667 0.5000 Bi
0.3862 0.0348 0.7041 Cl
0.3862 0.3515 0.2959 Cl
0.6485 0.0348 0.2959 Cl
0.6485 0.6138 0.7041 Cl
0.9652 0.3515 0.7041 Cl
0.9652 0.6138 0.2959 Cl

***

La8Pm2Sm3 GGA-PBE optimized geometry; symmetry = C2/m (12); energy relative to the lowest polymorph listed for this composition = 0.000 eV per formula unit; formation energy from the elements = 0.1468 eV per atom
1.0
7.4445 -5.6250 0.0000
7.4445 5.6250 0.0000
-1.9265 0.0000 5.5603
La Pm Sm
8 2 3
direct
0.0759 0.0759 0.2346 La
0.1013 0.5632 0.8311 La
0.3384 0.3384 0.3749 La
0.4368 0.8987 0.1689 La
0.5632 0.1013 0.8311 La
0.6616 0.6616 0.6251 La
0.8987 0.4368 0.1689 La
0.9241 0.9241 0.7654 La
0.1737 0.1737 0.8041 Pm
0.8263 0.8263 0.1959 Pm
0.2510 0.7490 0.5000 Sm
0.5000 0.5000 0.0000 Sm
0.7490 0.2510 0.5000 Sm

***

La2Nd5DyHo GGA-PBE optimized geometry; symmetry = Cmc2_1 (36); formation energy from the elements = 0.1238 eV per atom
1.0
2.8738 -10.2118 0.0000
2.8738 10.2118 0.0000
0.0000 0.0000 10.8559
La Nd Dy Ho
4 10 2 2
direct
0.1139 0.8861 0.5000 La
0.1173 0.8827 0.0813 La
0.8827 0.1173 0.5813 La
0.8861 0.1139 0.0000 La
0.0155 0.9845 0.7850 Nd
0.2783 0.7217 0.0769 Nd
0.2953 0.7047 0.4683 Nd
0.3846 0.6154 0.7864 Nd
0.4823 0.5177 0.5083 Nd
0.5177 0.4823 0.0083 Nd
0.6154 0.3846 0.2864 Nd
0.7047 0.2953 0.9683 Nd
0.7217 0.2783 0.5769 Nd
0.9845 0.0155 0.2850 Nd
0.4075 0.5925 0.2291 Dy
0.5925 0.4075 0.7291 Dy
0.2002 0.7998 0.7748 Ho
0.7998 0.2002 0.2748 Ho

***

MnHPdPt2 GGA-PBE optimized geometry; symmetry = P4/mmm (123); energy relative to the lowest polymorph listed for this composition = 0.000 eV per formula unit
1.0
3.9852 0.0000 0.0000
0.0000 3.9852 0.0000
0.0000 0.0000 4.0410
Mn H Pd Pt
1 1 1 2
direct
0.0000 0.0000 0.0000 Mn
0.5000 0.5000 0.5000 H
0.5000 0.5000 0.0000 Pd
0.0000 0.5000 0.5000 Pt
0.5000 0.0000 0.5000 Pt

***

HoPu2Ir2 GGA-PBE optimized geometry; symmetry = Cmcm (63); formation energy from the elements = -0.4191 eV per atom
1.0
2.1114 -9.5289 0.0000
2.1114 9.5289 0.0000
0.0000 0.0000 5.6535
Ho Pu Ir
2 4 4
direct
0.1310 0.8690 0.7500 Ho
0.8690 0.1310 0.2500 Ho
0.3197 0.6803 0.7500 Pu
0.5000 0.5000 0.0000 Pu
0.5000 0.5000 0.5000 Pu
0.6803 0.3197 0.2500 Pu
0.0782 0.9218 0.2500 Ir
0.2737 0.7263 0.2500 Ir
0.7263 0.2737 0.7500 Ir
0.9218 0.0782 0.7500 Ir

***

Dy2PuO GGA-PBE optimized geometry; symmetry = R-3m (166); raw formation energy = -1.27 eV/atom; energy relative to the lowest polymorph listed for this composition = 0.000 eV per formula unit
1.0
3.4522 0.0000 0.0000
-1.7261 2.9897 0.0000
0.0000 0.0000 26.2048
Dy Pu O
6 3 3
direct
0.0000 0.0000 0.2208 Dy
0.0000 0.0000 0.7792 Dy
0.3333 0.6667 0.4458 Dy
0.3333 0.6667 0.8875 Dy
0.6667 0.3333 0.1125 Dy
0.6667 0.3333 0.5542 Dy
0.0000 0.0000 0.0000 Pu
0.3333 0.6667 0.6667 Pu
0.6667 0.3333 0.3333 Pu
0.0000 0.0000 0.5000 O
0.3333 0.6667 0.1667 O
0.6667 0.3333 0.8333 O

***

Sn3Pt12Pb GGA-PBE optimized geometry; symmetry = P4/mmm (123); formation energy from the elements = -0.3256 eV per atom
1.0
4.0756 0.0000 0.0000
0.0000 4.0756 0.0000
0.0000 0.0000 16.3188
Sn Pt Pb
3 12 1
direct
0.0000 0.0000 0.0000 Sn
0.0000 0.0000 0.2475 Sn
0.0000 0.0000 0.7525 Sn
0.0000 0.5000 0.1239 Pt
0.0000 0.5000 0.3699 Pt
0.0000 0.5000 0.6301 Pt
0.0000 0.5000 0.8761 Pt
0.5000 0.0000 0.1239 Pt
0.5000 0.0000 0.3699 Pt
0.5000 0.0000 0.6301 Pt
0.5000 0.0000 0.8761 Pt
0.5000 0.5000 0.0000 Pt
0.5000 0.5000 0.2474 Pt
0.5000 0.5000 0.5000 Pt
0.5000 0.5000 0.7526 Pt
0.0000 0.0000 0.5000 Pb

***

Sr2AlZn6Rh GGA-PBE optimized geometry; symmetry = P-1 (2); formation energy from the elements = -0.2332 eV per atom
1.0
6.7081 0.0000 0.0000
3.3474 5.8265 0.0000
3.3409 1.9394 5.6388
Sr Al Zn Rh
2 1 6 1
direct
0.1986 0.1988 0.4041 Sr
0.8014 0.8012 0.5959 Sr
0.5000 0.5000 0.5000 Al
0.2453 0.6450 0.8631 Zn
0.2476 0.2451 0.8620 Zn
0.3554 0.7514 0.1371 Zn
0.6446 0.2486 0.8629 Zn
0.7524 0.7549 0.1380 Zn
0.7547 0.3550 0.1369 Zn
0.0000 0.0000 0.0000 Rh